Entry from the Open Quantum Materials Database: a geometry-optimized TmCdNi structure (PBE).

Size of the total moment   0.0 μB per formula unit
E_tot   -3.32 eV/atom

CIF file:
```
data_TmCdNi
_chemical_formula_sum 'Tm1 Cd1 Ni1'
_symmetry_space_group_name_H-M 'P 1'
_symmetry_Int_Tables_number 1
_cell_length_a 4.640
_cell_length_b 4.640
_cell_length_c 4.640
_cell_angle_alpha 60.00
_cell_angle_beta 60.00
_cell_angle_gamma 60.00
loop_
_symmetry_equiv_pos_as_xyz
'x,y,z'
loop_
_atom_site_label
_atom_site_type_symbol
_atom_site_fract_x
_atom_site_fract_y
_atom_site_fract_z
Cd1 Cd 0.250 0.250 0.250
Ni1 Ni 0.750 0.750 0.750
Tm1 Tm 0.000 0.000 0.000
```

Entry from the Open Quantum Materials Database: a geometry-optimized CsLaFeSe3 structure (PBE).

Size of the total moment   4.0 μB per formula unit
E_tot   -5.12 eV/atom

CIF file:
```
data_CsLaFeSe3
_chemical_formula_sum 'Cs2 La2 Fe2 Se6'
_symmetry_space_group_name_H-M 'P 1'
_symmetry_Int_Tables_number 1
_cell_length_a 9.177
_cell_length_b 9.177
_cell_length_c 9.431
_cell_angle_alpha 102.84
_cell_angle_beta 102.84
_cell_angle_gamma 28.79
loop_
_symmetry_equiv_pos_as_xyz
'x,y,z'
loop_
_atom_site_label
_atom_site_type_symbol
_atom_site_fract_x
_atom_site_fract_y
_atom_site_fract_z
Fe1 Fe 0.501 0.501 0.263
Fe2 Fe 0.499 0.499 0.737
Cs1 Cs 0.850 0.850 0.933
Cs2 Cs 0.150 0.150 0.067
Se1 Se 0.356 0.356 0.228
Se2 Se 0.000 0.000 0.500
Se3 Se 0.500 0.500 0.000
Se4 Se 0.644 0.644 0.772
Se5 Se 0.344 0.344 0.637
Se6 Se 0.656 0.656 0.363
La1 La 0.164 0.164 0.581
La2 La 0.836 0.836 0.419
```

Entry from the Open Quantum Materials Database: a geometry-optimized Na4GaAg2Pb structure (PBE).

E_tot   -2.27 eV/atom

CIF file:
```
data_Na4GaAg2Pb
_chemical_formula_sum 'Na4 Ga1 Ag2 Pb1'
_symmetry_space_group_name_H-M 'P 1'
_symmetry_Int_Tables_number 1
_cell_length_a 5.016
_cell_length_b 5.016
_cell_length_c 7.250
_cell_angle_alpha 90.00
_cell_angle_beta 90.00
_cell_angle_gamma 90.00
loop_
_symmetry_equiv_pos_as_xyz
'x,y,z'
loop_
_atom_site_label
_atom_site_type_symbol
_atom_site_fract_x
_atom_site_fract_y
_atom_site_fract_z
Na1 Na 0.000 0.000 0.500
Na2 Na 0.500 0.500 0.000
Na3 Na 0.500 0.000 0.236
Na4 Na 0.000 0.500 0.764
Ag1 Ag 0.000 0.500 0.234
Ag2 Ag 0.500 0.000 0.766
Ga1 Ga 0.000 0.000 0.000
Pb1 Pb 0.500 0.500 0.500
```

Entry from the Open Quantum Materials Database: a geometry-optimized SrLiGdSe3 structure (PBE).

Size of the total moment   0.0 μB per formula unit
Polymorph energy (0 for the lowest one)   29 meV/atom
E_tot   -4.90 eV/atom

CIF file:
```
data_SrLiGdSe3
_chemical_formula_sum 'Sr4 Li4 Gd4 Se12'
_symmetry_space_group_name_H-M 'P 1'
_symmetry_Int_Tables_number 1
_cell_length_a 13.862
_cell_length_b 4.176
_cell_length_c 10.933
_cell_angle_alpha 90.00
_cell_angle_beta 90.00
_cell_angle_gamma 90.00
loop_
_symmetry_equiv_pos_as_xyz
'x,y,z'
loop_
_atom_site_label
_atom_site_type_symbol
_atom_site_fract_x
_atom_site_fract_y
_atom_site_fract_z
Se1 Se 0.902 0.750 0.388
Se2 Se 0.891 0.250 0.069
Se3 Se 0.109 0.750 0.931
Se4 Se 0.391 0.250 0.431
Se5 Se 0.598 0.250 0.888
Se6 Se 0.098 0.250 0.612
Se7 Se 0.402 0.750 0.112
Se8 Se 0.642 0.250 0.245
Se9 Se 0.858 0.750 0.745
Se10 Se 0.142 0.250 0.255
Se11 Se 0.358 0.750 0.755
Se12 Se 0.609 0.750 0.569
Li1 Li 0.006 0.250 0.411
Li2 Li 0.494 0.750 0.911
Li3 Li 0.506 0.250 0.089
Li4 Li 0.994 0.750 0.589
Gd1 Gd 0.517 0.750 0.332
Gd2 Gd 0.983 0.250 0.832
Gd3 Gd 0.017 0.750 0.168
Gd4 Gd 0.483 0.250 0.668
Sr1 Sr 0.226 0.750 0.469
Sr2 Sr 0.274 0.250 0.969
Sr3 Sr 0.726 0.750 0.031
Sr4 Sr 0.774 0.250 0.531
```